Ca4Pd2Pt | GGA-PBE | relaxed

* E_tot: -29.17 eV for the cell shown
* total magnetization: 0.0 μB per cell
* DOS at the Fermi energy: 0.4937 states/eV per atom

a = 4.978 Å, b = 4.978 Å, c = 8.633 Å
α = 73.24°, β = 73.24°, γ = 60.00°
Fractional positions:
Ca  0.877  0.877  0.370
Ca  0.123  0.123  0.630
Ca  0.626  0.626  0.121
Ca  0.374  0.374  0.879
Pt  0.000  0.000  0.000
Pd  0.750  0.750  0.751
Pd  0.250  0.250  0.249